Density functional theory data (PBE with a Hubbard U) for crystalline BaMnSn2F8 at its relaxed geometry.

Cell and atoms, written as CIF:
```
data_BaMnSn2F8
_chemical_formula_sum 'Ba1 Mn1 Sn2 F8'
_space_group_name_H-M_alt 'P -1'
_space_group_IT_number 2
_space_group_name_Hall '-P 1'
_cell_length_a 4.432
_cell_length_b 5.903
_cell_length_c 8.153
_cell_angle_alpha 91.43
_cell_angle_beta 95.44
_cell_angle_gamma 93.87
loop_
_atom_site_label
_atom_site_type_symbol
_atom_site_fract_x
_atom_site_fract_y
_atom_site_fract_z
Ba1 Ba 0.000 0.000 0.000
Mn1 Mn 0.000 0.000 0.500
Sn1 Sn 0.451 0.475 0.734
F1 F 0.009 0.702 0.267
F2 F 0.068 0.811 0.708
F3 F 0.428 0.211 0.544
F4 F 0.488 0.752 0.051
```

Results
E	-5.43	eV per atom
spin magnetization	5.00	μB per formula unit
density	4.56	Mg/m³